Record 1
Ca3InSb2N after structural relaxation. Source: the Alexandria database, functional GGA-PBE.

- formation energy without anion corrections (eV/atom) = -0.7727
- total moment (μB/cell) = 0.00
- crystal system = orthorhombic
- Fermi-level density of states (states/eV/f.u.) = 0.9

Structure (POSCAR):
```
Ca3InSb2N
1.0
4.6543 0.0000 0.0000
0.0000 4.7617 0.0000
-2.3271 -2.3808 8.0099
Ca In Sb N
3 1 2 1
direct
0.0000 0.5000 0.0000
0.1558 0.1558 0.3116
0.8442 0.8442 0.6884
0.5000 0.0000 0.0000
0.6411 0.6411 0.2822
0.3589 0.3589 0.7178
0.0000 0.0000 0.0000
```

=====

Record 2
LaYBr2 after structural relaxation. Source: the Alexandria database, functional GGA-PBE.

- formation energy without anion corrections (eV/atom) = -1.1770
- total moment (μB/cell) = 0.00
- crystal system = tetragonal
- Fermi-level density of states (states/eV/f.u.) = 3.8
- energy above the most stable polymorph in this dataset (kJ/mol of formula units) = 17

Structure (POSCAR):
```
LaYBr2
1.0
4.0032 0.0000 0.0000
0.0000 4.0032 0.0000
0.0000 0.0000 7.4036
Y Br La
1 2 1
direct
0.5000 0.5000 0.8197
0.0000 0.0000 0.9377
0.5000 0.5000 0.2552
0.0000 0.0000 0.4875
```

=====

Record 3
SmDy9Er2 after structural relaxation. Source: the Alexandria database, functional GGA-PBE.

- total moment (μB/cell) = 0.00
- crystal system = tetragonal
- Fermi-level density of states (states/eV/f.u.) = 18.4
- formation energy from the elements (meV per atom) = 21
- energy above the most stable polymorph in this dataset (kJ/mol of formula units) = 0

Structure (POSCAR):
```
SmDy9Er2
1.0
5.0098 0.0000 0.0000
0.0000 5.0098 0.0000
0.0000 0.0000 15.0355
Sm Dy Er
1 9 2
direct
0.0000 0.0000 0.0000
0.5000 0.5000 0.0000
0.5000 0.5000 0.3346
0.5000 0.5000 0.6654
0.5000 0.0000 0.1684
0.5000 0.0000 0.5000
0.5000 0.0000 0.8316
0.0000 0.5000 0.1684
0.0000 0.5000 0.5000
0.0000 0.5000 0.8316
0.0000 0.0000 0.3341
0.0000 0.0000 0.6659
```

=====

Record 4
NaVIr2Pt after structural relaxation. Source: the Alexandria database, functional GGA-PBE.

- total moment (μB/cell) = 0.15
- crystal system = tetragonal
- Fermi-level density of states (states/eV/f.u.) = 9.0
- formation energy from the elements (meV per atom) = 1987

Structure (POSCAR):
```
NaVIr2Pt
1.0
4.4510 0.0000 0.0000
0.0000 4.4014 0.0000
0.0000 0.0000 4.4510
Na Ir Pt V
1 2 1 1
direct
0.0000 0.0000 0.0000
0.0000 0.0000 0.5000
0.5000 0.0000 0.0000
0.0000 0.5000 0.0000
0.5000 0.5000 0.5000
```

=====

Record 5
LiTlAs2 after structural relaxation. Source: the Alexandria database, functional GGA-PBE.

- total moment (μB/cell) = 0.00
- crystal system = cubic
- Fermi-level density of states (states/eV/f.u.) = 4.2
- formation energy from the elements (meV per atom) = 151

Structure (POSCAR):
```
LiTlAs2
1.0
0.0000 3.5123 3.5123
3.5123 0.0000 3.5123
3.5123 3.5123 0.0000
Tl As Li
1 2 1
direct
0.5000 0.5000 0.5000
0.2500 0.2500 0.2500
0.7500 0.7500 0.7500
0.0000 0.0000 0.0000
```

=====

Record 6
K5Cd6 after structural relaxation. Source: the Alexandria database, functional GGA-PBE.

- total moment (μB/cell) = 0.00
- crystal system = monoclinic
- Fermi-level density of states (states/eV/f.u.) = 7.0
- formation energy from the elements (meV per atom) = -19

Structure (POSCAR):
```
K5Cd6
1.0
-5.1209 3.6928 -4.7993
-7.8396 -3.0843 1.0000
-5.1956 3.3666 5.6383
K Cd
5 6
direct
0.5000 0.5000 0.0000
0.0000 0.3422 0.3156
0.0000 0.6578 0.6844
0.5000 0.2016 0.5967
0.5000 0.7984 0.4033
0.7920 0.8664 0.0000
0.2080 0.1336 0.0000
0.8400 0.2727 0.7806
0.1600 0.9467 0.7806
0.1600 0.7273 0.2194
0.8400 0.0533 0.2194
```

=====

Record 7
NdYOsRh after structural relaxation. Source: the Alexandria database, functional GGA-PBE.

- total moment (μB/cell) = 0.00
- crystal system = cubic
- Fermi-level density of states (states/eV/f.u.) = 3.7
- formation energy from the elements (meV per atom) = -306

Structure (POSCAR):
```
NdYOsRh
1.0
4.9223 0.0000 0.0000
2.4611 4.2628 0.0000
2.4611 1.4209 4.0190
Y Nd Os Rh
1 1 1 1
direct
0.7500 0.7500 0.7500
0.2500 0.2500 0.2500
0.5000 0.5000 0.5000
0.0000 0.0000 0.0000
```

=====

Record 8
MnNbW after structural relaxation. Source: the Alexandria database, functional GGA-PBE.

- total moment (μB/cell) = 0.00
- crystal system = trigonal
- Fermi-level density of states (states/eV/f.u.) = 3.0
- formation energy from the elements (meV per atom) = 291
- energy above the most stable polymorph in this dataset (kJ/mol of formula units) = 64

Structure (POSCAR):
```
MnNbW
1.0
4.3794 0.0000 0.0000
2.1897 3.7927 0.0000
2.1897 1.2642 5.7155
Mn Nb W
2 2 2
direct
0.0645 0.0645 0.8065
0.9355 0.9355 0.1935
0.6219 0.6219 0.1342
0.3781 0.3781 0.8658
0.2018 0.2018 0.3946
0.7982 0.7982 0.6054
```

=====

Record 9
Dy2YTm9 after structural relaxation. Source: the Alexandria database, functional GGA-PBE.

- total moment (μB/cell) = 0.00
- crystal system = hexagonal
- Fermi-level density of states (states/eV/f.u.) = 20.2
- formation energy from the elements (meV per atom) = 56
- energy above the most stable polymorph in this dataset (kJ/mol of formula units) = 33

Structure (POSCAR):
```
Dy2YTm9
1.0
-0.6603 2.4051 -2.4115
-9.4685 -5.1378 -2.5317
0.1214 7.8515 7.7974
Dy Y Tm
2 1 9
direct
0.0000 0.3333 0.6667
0.0000 0.6667 0.3333
0.0000 0.0000 0.0000
0.0000 0.0000 0.5000
0.0000 0.5000 0.5000
0.0000 0.5000 0.0000
0.5000 0.3538 0.1769
0.5000 0.1769 0.8231
0.5000 0.1769 0.3538
0.5000 0.8231 0.6462
0.5000 0.8231 0.1769
0.5000 0.6462 0.8231
```

=====

Record 10
PuTlSn2 after structural relaxation. Source: the Alexandria database, functional GGA-PBE.

- total moment (μB/cell) = 5.44
- crystal system = tetragonal
- Fermi-level density of states (states/eV/f.u.) = 10.5
- formation energy from the elements (meV per atom) = -249

Structure (POSCAR):
```
PuTlSn2
1.0
4.6341 0.0000 0.0000
0.0000 4.7365 0.0000
0.0000 0.0000 4.7365
Pu Tl Sn
1 1 2
direct
0.5000 0.0000 0.0000
0.5000 0.5000 0.5000
0.0000 0.0000 0.5000
0.0000 0.5000 0.0000
```

=====

Record 11
AgPt2Au after structural relaxation. Source: the Alexandria database, functional GGA-PBE.

- total moment (μB/cell) = 0.00
- crystal system = trigonal
- Fermi-level density of states (states/eV/f.u.) = 5.0
- formation energy from the elements (meV per atom) = -10
- energy above the most stable polymorph in this dataset (kJ/mol of formula units) = 9

Structure (POSCAR):
```
AgPt2Au
1.0
-5.2594 -5.4421 -5.9885
-3.0230 -5.0015 -7.6803
-2.9790 -7.1212 -5.7926
Au Ag Pt
1 1 2
direct
0.7490 0.7490 0.7490
0.5016 0.5016 0.5016
0.9986 0.9986 0.9986
0.2508 0.2508 0.2508
```

=====

Record 12
GdMnSb2 after structural relaxation. Source: the Alexandria database, functional GGA-PBE.

- formation energy without anion corrections (eV/atom) = 0.0463
- total moment (μB/cell) = 10.20
- crystal system = trigonal
- Fermi-level density of states (states/eV/f.u.) = 3.2

Structure (POSCAR):
```
GdMnSb2
1.0
-2.9124 -1.6062 1.0875
-2.0622 -1.6342 -2.3067
3.4586 -9.4436 0.9443
Sb Gd Mn
2 1 1
direct
0.1061 0.1061 0.6816
0.8939 0.8939 0.3184
0.0000 0.0000 0.0000
0.5000 0.5000 0.5000
```

=====

Record 13
Er2ReB6 after structural relaxation. Source: the Alexandria database, functional GGA-PBE.

- total moment (μB/cell) = 0.53
- crystal system = orthorhombic
- Fermi-level density of states (states/eV/f.u.) = 3.6
- formation energy from the elements (meV per atom) = -353
- energy above the most stable polymorph in this dataset (kJ/mol of formula units) = 269

Structure (POSCAR):
```
Er2ReB6
1.0
3.4176 0.0000 0.0000
0.0000 5.3717 0.0000
-1.7088 -2.6858 5.8428
Er Re B
2 1 6
direct
0.8378 0.8378 0.6756
0.1622 0.1622 0.3244
0.0000 0.5000 0.0000
0.6206 0.7710 0.2412
0.3794 0.2290 0.7588
0.3794 0.5297 0.7588
0.5000 0.1654 0.0000
0.5000 0.8346 0.0000
0.6206 0.4703 0.2412
```

=====

Record 14
TbEr2MgC after structural relaxation. Source: the Alexandria database, functional GGA-PBE.

- total moment (μB/cell) = 0.03
- crystal system = tetragonal
- Fermi-level density of states (states/eV/f.u.) = 6.3
- formation energy from the elements (meV per atom) = -196

Structure (POSCAR):
```
TbEr2MgC
1.0
5.0616 0.0000 0.0000
0.0000 4.8962 0.0000
0.0000 0.0000 4.8962
Tb Er Mg C
1 2 1 1
direct
0.5000 0.0000 0.0000
0.0000 0.0000 0.5000
0.0000 0.5000 0.0000
0.5000 0.5000 0.5000
0.0000 0.0000 0.0000
```

=====

Record 15
SrErGaAg after structural relaxation. Source: the Alexandria database, functional GGA-PBE.

- total moment (μB/cell) = 0.00
- crystal system = cubic
- Fermi-level density of states (states/eV/f.u.) = 4.8
- formation energy from the elements (meV per atom) = -305

Structure (POSCAR):
```
SrErGaAg
1.0
-4.2406 2.8630 1.2713
-4.4928 -0.6053 -2.6913
-4.1514 -2.3098 2.2860
Sr Ga Ag Er
1 1 1 1
direct
0.5000 0.5000 0.5000
0.7500 0.7500 0.7500
0.2500 0.2500 0.2500
0.0000 0.0000 0.0000
```

=====

Record 16
IrCl after structural relaxation. Source: the Alexandria database, functional GGA-PBE.

- formation energy without anion corrections (eV/atom) = 0.4051
- total moment (μB/cell) = 0.00
- crystal system = tetragonal
- Fermi-level density of states (states/eV/f.u.) = 0.9
- energy above the most stable polymorph in this dataset (kJ/mol of formula units) = 52

Structure (POSCAR):
```
IrCl
1.0
-2.2806 1.8834 0.6388
-1.5187 -1.0218 -2.4096
-3.6808 -6.1248 4.9170
Ir Cl
2 2
direct
0.2500 0.2500 0.5860
0.7500 0.7500 0.4140
0.2500 0.2500 0.2136
0.7500 0.7500 0.7864
```

=====

Record 17
ZnIn2O after structural relaxation. Source: the Alexandria database, functional GGA-PBE.

- formation energy without anion corrections (eV/atom) = -0.3907
- total moment (μB/cell) = 0.00
- crystal system = tetragonal
- Fermi-level density of states (states/eV/f.u.) = 0.9
- energy above the most stable polymorph in this dataset (kJ/mol of formula units) = 0

Structure (POSCAR):
```
ZnIn2O
1.0
-5.6931 -3.2866 -1.0309
2.4773 -5.2906 3.1857
-2.9425 -2.9826 4.2840
Zn O In
2 2 4
direct
0.0000 0.0000 0.0000
0.7500 0.2500 0.5000
0.5000 0.5000 0.0000
0.2500 0.7500 0.5000
0.5645 0.1250 0.2500
0.1855 0.6250 0.2500
0.3750 0.4355 0.7500
0.8750 0.8145 0.7500
```

=====

Record 18
Zr3PtI after structural relaxation. Source: the Alexandria database, functional GGA-PBE.

- formation energy without anion corrections (eV/atom) = 0.1868
- total moment (μB/cell) = 1.53
- crystal system = cubic
- Fermi-level density of states (states/eV/f.u.) = 7.9
- energy above the most stable polymorph in this dataset (kJ/mol of formula units) = 0

Structure (POSCAR):
```
Zr3PtI
1.0
-4.2471 -2.8870 -0.7291
0.6417 -2.1276 4.6867
-2.9077 3.7473 2.0993
I Zr Pt
1 3 1
direct
0.5000 0.5000 0.5000
0.0000 0.5000 0.0000
0.0000 0.0000 0.5000
0.5000 0.0000 0.0000
0.0000 0.0000 0.0000
```

=====

Record 19
DyFeHg after structural relaxation. Source: the Alexandria database, functional GGA-PBE.

- total moment (μB/cell) = 0.00
- crystal system = monoclinic
- Fermi-level density of states (states/eV/f.u.) = 3.0
- formation energy from the elements (meV per atom) = -109

Structure (POSCAR):
```
DyFeHg
1.0
3.8375 0.0000 0.0000
0.0000 5.0438 -0.1419
-1.9188 -1.2587 6.4571
Fe Hg Dy
2 2 2
direct
0.7679 0.0943 0.5357
0.2321 0.9057 0.4643
0.5715 0.7848 0.1429
0.4285 0.2152 0.8571
0.8664 0.6707 0.7328
0.1336 0.3293 0.2672
```

=====

Record 20
CrPtN2 after structural relaxation. Source: the Alexandria database, functional GGA-PBE.

- formation energy without anion corrections (eV/atom) = 1.1772
- total moment (μB/cell) = 0.00
- crystal system = cubic
- Fermi-level density of states (states/eV/f.u.) = 3.9
- energy above the most stable polymorph in this dataset (kJ/mol of formula units) = 472

Structure (POSCAR):
```
CrPtN2
1.0
0.0000 2.6741 2.6741
2.6741 0.0000 2.6741
2.6741 2.6741 0.0000
Cr Pt N
1 1 2
direct
0.0000 0.0000 0.0000
0.5000 0.5000 0.5000
0.2500 0.2500 0.2500
0.7500 0.7500 0.7500
```